Entry 1:
Entry from the Open Quantum Materials Database: InCoAgSe2S after structural relaxation (PBE).

The structure in CIF format:
```
data_InCoAgSe2S
_symmetry_space_group_name_H-M 'C m c m'
_symmetry_Int_Tables_number 63
_symmetry_space_group_name_Hall '-C 2c 2'
_cell_length_a 3.607
_cell_length_b 15.428
_cell_length_c 9.425
_cell_angle_alpha 90.00
_cell_angle_beta 90.00
_cell_angle_gamma 90.00
loop_
_atom_site_label
_atom_site_type_symbol
_atom_site_fract_x
_atom_site_fract_y
_atom_site_fract_z
_atom_site_occupancy
In1 In 0.000 0.155 0.250 1
Co1 Co 0.000 0.500 0.000 1
Ag1 Ag 0.000 0.200 0.750 1
Se1 Se 0.000 0.101 0.529 1
S1 S 0.000 0.466 0.750 1
```

## Properties
**Total energy**: -99.22 eV/cell
**Calculated volume**: 21.86 Å³/atom


Entry 2:
Entry from the Open Quantum Materials Database: InCoAgTeS2 after structural relaxation (PBE).

The structure in CIF format:
```
data_InCoAgTeS2
_symmetry_space_group_name_H-M 'C m c m'
_symmetry_Int_Tables_number 63
_symmetry_space_group_name_Hall '-C 2c 2'
_cell_length_a 3.308
_cell_length_b 14.853
_cell_length_c 10.288
_cell_angle_alpha 90.00
_cell_angle_beta 90.00
_cell_angle_gamma 90.00
loop_
_atom_site_label
_atom_site_type_symbol
_atom_site_fract_x
_atom_site_fract_y
_atom_site_fract_z
_atom_site_occupancy
In1 In 0.000 0.179 0.250 1
Co1 Co 0.000 0.500 0.000 1
Ag1 Ag 0.000 0.167 0.750 1
Te1 Te 0.000 0.499 0.250 1
S1 S 0.000 0.103 0.001 1
```

## Properties
**Total energy**: -100.03 eV/cell
**Calculated volume**: 21.06 Å³/atom


Entry 3:
Entry from the Open Quantum Materials Database: InCoAgTe2S after structural relaxation (PBE).

The structure in CIF format:
```
data_InCoAgTe2S
_symmetry_space_group_name_H-M 'C m c m'
_symmetry_Int_Tables_number 63
_symmetry_space_group_name_Hall '-C 2c 2'
_cell_length_a 3.867
_cell_length_b 12.582
_cell_length_c 11.390
_cell_angle_alpha 90.00
_cell_angle_beta 90.00
_cell_angle_gamma 90.00
loop_
_atom_site_label
_atom_site_type_symbol
_atom_site_fract_x
_atom_site_fract_y
_atom_site_fract_z
_atom_site_occupancy
In1 In 0.000 0.170 0.250 1
Co1 Co 0.000 0.500 0.000 1
Ag1 Ag 0.000 0.150 0.750 1
Te1 Te 0.000 0.130 0.511 1
S1 S 0.000 0.475 0.750 1
```

## Properties
**Total energy**: -93.07 eV/cell
**Calculated volume**: 23.09 Å³/atom


Entry 4:
Entry from the Open Quantum Materials Database: InCoAgTe2Se after structural relaxation (PBE).

The structure in CIF format:
```
data_InCoAgTe2Se
_symmetry_space_group_name_H-M 'C m c m'
_symmetry_Int_Tables_number 63
_symmetry_space_group_name_Hall '-C 2c 2'
_cell_length_a 3.884
_cell_length_b 12.960
_cell_length_c 11.199
_cell_angle_alpha 90.00
_cell_angle_beta 90.00
_cell_angle_gamma 90.00
loop_
_atom_site_label
_atom_site_type_symbol
_atom_site_fract_x
_atom_site_fract_y
_atom_site_fract_z
_atom_site_occupancy
In1 In 0.000 0.186 0.250 1
Co1 Co 0.000 0.500 0.000 1
Ag1 Ag 0.000 0.146 0.750 1
Te1 Te 0.000 0.125 0.508 1
Se1 Se 0.000 0.475 0.750 1
```

## Properties
**Total energy**: -91.10 eV/cell
**Calculated volume**: 23.49 Å³/atom


Entry 5:
Entry from the Open Quantum Materials Database: TaInCoAg after structural relaxation (PBE).

The structure in CIF format:
```
data_TaInCoAg
_symmetry_space_group_name_H-M 'F -4 3 m'
_symmetry_Int_Tables_number 216
_symmetry_space_group_name_Hall 'F -4 2 3'
_cell_length_a 6.442
_cell_length_b 6.442
_cell_length_c 6.442
_cell_angle_alpha 90.00
_cell_angle_beta 90.00
_cell_angle_gamma 90.00
loop_
_atom_site_label
_atom_site_type_symbol
_atom_site_fract_x
_atom_site_fract_y
_atom_site_fract_z
_atom_site_occupancy
Ta1 Ta 0.000 0.000 0.000 1
In1 In 0.250 0.250 0.250 1
Co1 Co 0.000 0.000 0.500 1
Ag1 Ag 0.250 0.250 0.750 1
```

## Properties
**Total energy**: -90.19 eV/cell
**Calculated volume**: 16.71 Å³/atom


Entry 6:
Entry from the Open Quantum Materials Database: TaInCoAg after structural relaxation (PBE).

The structure in CIF format:
```
data_TaInCoAg
_symmetry_space_group_name_H-M 'F -4 3 m'
_symmetry_Int_Tables_number 216
_symmetry_space_group_name_Hall 'F -4 2 3'
_cell_length_a 6.410
_cell_length_b 6.410
_cell_length_c 6.410
_cell_angle_alpha 90.00
_cell_angle_beta 90.00
_cell_angle_gamma 90.00
loop_
_atom_site_label
_atom_site_type_symbol
_atom_site_fract_x
_atom_site_fract_y
_atom_site_fract_z
_atom_site_occupancy
Ta1 Ta 0.000 0.000 0.000 1
In1 In 0.000 0.000 0.500 1
Co1 Co 0.250 0.250 0.750 1
Ag1 Ag 0.250 0.250 0.250 1
```

## Properties
**Total energy**: -94.42 eV/cell
**Calculated volume**: 16.46 Å³/atom


Entry 7:
Entry from the Open Quantum Materials Database: InCoAgTe3 after structural relaxation (PBE).

The structure in CIF format:
```
data_InCoAgTe3
_symmetry_space_group_name_H-M 'C m c m'
_symmetry_Int_Tables_number 63
_symmetry_space_group_name_Hall '-C 2c 2'
_cell_length_a 3.727
_cell_length_b 14.704
_cell_length_c 11.031
_cell_angle_alpha 90.00
_cell_angle_beta 90.00
_cell_angle_gamma 90.00
loop_
_atom_site_label
_atom_site_type_symbol
_atom_site_fract_x
_atom_site_fract_y
_atom_site_fract_z
_atom_site_occupancy
In1 In 0.000 0.195 0.250 1
Co1 Co 0.000 0.500 0.000 1
Ag1 Ag 0.000 0.157 0.750 1
Te1 Te 0.000 0.117 0.504 1
Te2 Te 0.000 0.486 0.750 1
```

## Properties
**Total energy**: -89.73 eV/cell
**Calculated volume**: 25.19 Å³/atom


Entry 8:
Entry from the Open Quantum Materials Database: ZnInCoAg after structural relaxation (PBE).

The structure in CIF format:
```
data_ZnInCoAg
_symmetry_space_group_name_H-M 'F -4 3 m'
_symmetry_Int_Tables_number 216
_symmetry_space_group_name_Hall 'F -4 2 3'
_cell_length_a 6.339
_cell_length_b 6.339
_cell_length_c 6.339
_cell_angle_alpha 90.00
_cell_angle_beta 90.00
_cell_angle_gamma 90.00
loop_
_atom_site_label
_atom_site_type_symbol
_atom_site_fract_x
_atom_site_fract_y
_atom_site_fract_z
_atom_site_occupancy
Zn1 Zn 0.000 0.000 0.000 1
In1 In 0.000 0.000 0.500 1
Co1 Co 0.250 0.250 0.750 1
Ag1 Ag 0.250 0.250 0.250 1
```

## Properties
**Total energy**: -53.43 eV/cell
**Calculated volume**: 15.92 Å³/atom


Entry 9:
Entry from the Open Quantum Materials Database: ZrInCoAg after structural relaxation (PBE).

The structure in CIF format:
```
data_ZrInCoAg
_symmetry_space_group_name_H-M 'F -4 3 m'
_symmetry_Int_Tables_number 216
_symmetry_space_group_name_Hall 'F -4 2 3'
_cell_length_a 6.583
_cell_length_b 6.583
_cell_length_c 6.583
_cell_angle_alpha 90.00
_cell_angle_beta 90.00
_cell_angle_gamma 90.00
loop_
_atom_site_label
_atom_site_type_symbol
_atom_site_fract_x
_atom_site_fract_y
_atom_site_fract_z
_atom_site_occupancy
Zr1 Zr 0.000 0.000 0.000 1
In1 In 0.000 0.000 0.500 1
Co1 Co 0.250 0.250 0.750 1
Ag1 Ag 0.250 0.250 0.250 1
```

## Properties
**Total energy**: -86.26 eV/cell
**Calculated volume**: 17.83 Å³/atom


Entry 10:
Entry from the Open Quantum Materials Database: ZrInCoAg after structural relaxation (PBE).

The structure in CIF format:
```
data_ZrInCoAg
_symmetry_space_group_name_H-M 'F -4 3 m'
_symmetry_Int_Tables_number 216
_symmetry_space_group_name_Hall 'F -4 2 3'
_cell_length_a 6.594
_cell_length_b 6.594
_cell_length_c 6.594
_cell_angle_alpha 90.00
_cell_angle_beta 90.00
_cell_angle_gamma 90.00
loop_
_atom_site_label
_atom_site_type_symbol
_atom_site_fract_x
_atom_site_fract_y
_atom_site_fract_z
_atom_site_occupancy
Zr1 Zr 0.000 0.000 0.000 1
In1 In 0.250 0.250 0.250 1
Co1 Co 0.000 0.000 0.500 1
Ag1 Ag 0.250 0.250 0.750 1
```

## Properties
**Total energy**: -82.93 eV/cell
**Calculated volume**: 17.92 Å³/atom